(A)
Below is a relaxed structure of LiIrNO, with properties calculated at the PBE level.

abc: 3.298 5.139 5.682
angles: 90.00 90.00 90.00
Element x y z (fractional)
Ir (0.500, 0.987, 0.206)
Ir (0.500, 0.487, 0.794)
Li (0.000, 0.486, 0.306)
Li (0.000, 0.986, 0.694)
N (0.000, 0.903, 0.332)
N (0.000, 0.403, 0.668)
O (0.500, 0.377, 0.143)
O (0.500, 0.877, 0.857)

Computed properties:
Size of the total moment ... 0.0 μB per formula unit
SG ... No. 26

(B)
Below is a relaxed structure of LiIrNO, with properties calculated at the PBE level.

abc: 3.675 3.675 7.296
angles: 90.00 90.00 90.00
Element x y z (fractional)
Ir (0.750, 0.250, 0.500)
Ir (0.250, 0.750, 0.500)
Li (0.250, 0.250, 0.063)
Li (0.750, 0.750, 0.937)
N (0.750, 0.750, 0.360)
N (0.250, 0.250, 0.640)
O (0.750, 0.250, 0.000)
O (0.250, 0.750, 0.000)

Computed properties:
Size of the total moment ... 0.1 μB per formula unit
SG ... No. 129

Which of them is the least stable? Correct choice: (B).

(A)
Below is a relaxed structure of NaLiReIr, with properties calculated at the PBE level.

abc: 4.330 4.330 4.330
angles: 60.00 60.00 60.00
Element x y z (fractional)
Ir (0.250, 0.250, 0.250)
Li (0.500, 0.500, 0.500)
Na (0.750, 0.750, 0.750)
Re (0.000, 0.000, 0.000)

Computed properties:
Size of the total moment ... 0.0 μB per formula unit
SG ... No. 216

(B)
Below is a relaxed structure of NaLiReIr, with properties calculated at the PBE level.

abc: 4.346 4.346 4.346
angles: 60.00 60.00 60.00
Element x y z (fractional)
Ir (0.000, 0.000, 0.000)
Li (0.500, 0.500, 0.500)
Na (0.750, 0.750, 0.750)
Re (0.250, 0.250, 0.250)

Computed properties:
Size of the total moment ... 0.0 μB per formula unit
SG ... No. 216

Which of them is the least stable? Correct choice: (B).

(A)
Below is a relaxed structure of LiNbIr2, with properties calculated at the PBE level.

abc: 5.884 5.884 6.756
angles: 90.00 90.00 90.00
Element x y z (fractional)
Ir (0.500, 0.000, 0.250)
Ir (0.500, 0.500, 0.250)
Ir (0.000, 0.000, 0.250)
Ir (0.000, 0.500, 0.250)
Ir (0.000, 0.000, 0.750)
Ir (0.000, 0.500, 0.750)
Ir (0.500, 0.000, 0.750)
Ir (0.500, 0.500, 0.750)
Li (0.750, 0.250, 0.000)
Li (0.250, 0.750, 0.000)
Li (0.250, 0.750, 0.500)
Li (0.750, 0.250, 0.500)
Nb (0.250, 0.250, 0.000)
Nb (0.750, 0.750, 0.000)
Nb (0.250, 0.250, 0.500)
Nb (0.750, 0.750, 0.500)

Computed properties:
Size of the total moment ... 0.0 μB per formula unit
SG ... No. 123

(B)
Below is a relaxed structure of LiNbIr2, with properties calculated at the PBE level.

abc: 4.363 6.157 13.089
angles: 90.00 90.00 90.00
Element x y z (fractional)
Ir (0.500, 0.250, 0.000)
Ir (0.500, 0.750, 0.000)
Ir (0.000, 0.250, 0.167)
Ir (0.000, 0.750, 0.167)
Ir (0.500, 0.250, 0.333)
Ir (0.500, 0.750, 0.333)
Ir (0.000, 0.250, 0.500)
Ir (0.000, 0.750, 0.500)
Ir (0.500, 0.250, 0.667)
Ir (0.500, 0.750, 0.667)
Ir (0.000, 0.250, 0.833)
Ir (0.000, 0.750, 0.833)
Li (0.000, 0.000, 0.000)
Li (0.500, 0.500, 0.167)
Li (0.000, 0.000, 0.333)
Li (0.500, 0.500, 0.500)
Li (0.000, 0.000, 0.667)
Li (0.500, 0.500, 0.833)
Nb (0.000, 0.500, 0.000)
Nb (0.500, 0.000, 0.167)
Nb (0.000, 0.500, 0.333)
Nb (0.500, 0.000, 0.500)
Nb (0.000, 0.500, 0.667)
Nb (0.500, 0.000, 0.833)

Computed properties:
Size of the total moment ... 0.0 μB per formula unit
SG ... No. 139

Which of them is the least stable? Correct choice: (A).

(A)
Below is a relaxed structure of LiNbIr2, with properties calculated at the PBE level.

abc: 4.122 4.122 8.353
angles: 90.00 90.00 120.00
Element x y z (fractional)
Ir (0.667, 0.333, 0.096)
Ir (0.667, 0.333, 0.404)
Ir (0.333, 0.667, 0.596)
Ir (0.333, 0.667, 0.904)
Li (0.000, 0.000, 0.000)
Li (0.000, 0.000, 0.500)
Nb (0.333, 0.667, 0.250)
Nb (0.667, 0.333, 0.750)

Computed properties:
Size of the total moment ... 0.0 μB per formula unit
SG ... No. 194

(B)
Below is a relaxed structure of LiNbIr2, with properties calculated at the PBE level.

abc: 4.378 4.378 4.378
angles: 60.00 60.00 60.00
Element x y z (fractional)
Ir (0.000, 0.000, 0.000)
Ir (0.750, 0.750, 0.750)
Li (0.500, 0.500, 0.500)
Nb (0.250, 0.250, 0.250)

Computed properties:
Size of the total moment ... 0.0 μB per formula unit
SG ... No. 216

(C)
Below is a relaxed structure of LiNbIr2, with properties calculated at the PBE level.

abc: 3.148 3.148 5.856
angles: 90.00 90.00 90.00
Element x y z (fractional)
Ir (0.500, 0.500, 0.264)
Ir (0.500, 0.500, 0.736)
Li (0.000, 0.000, 0.500)
Nb (0.000, 0.000, 0.000)

Computed properties:
Size of the total moment ... 0.0 μB per formula unit
SG ... No. 123

(D)
Below is a relaxed structure of LiNbIr2, with properties calculated at the PBE level.

abc: 4.184 4.184 8.145
angles: 90.00 90.00 120.00
Element x y z (fractional)
Ir (0.333, 0.667, 0.088)
Ir (0.333, 0.667, 0.412)
Ir (0.667, 0.333, 0.588)
Ir (0.667, 0.333, 0.912)
Li (0.000, 0.000, 0.250)
Li (0.000, 0.000, 0.750)
Nb (0.667, 0.333, 0.250)
Nb (0.333, 0.667, 0.750)

Computed properties:
Size of the total moment ... 0.0 μB per formula unit
SG ... No. 194

Which of them is the least stable? Correct choice: (D).

(A)
Below is a relaxed structure of LiIr2O6, with properties calculated at the PBE level.

abc: 5.262 5.262 4.781
angles: 98.64 98.64 120.60
Each line ends with the local moment (μB).
Element x y z (fractional)
Ir (0.827, 0.173, 0.000)  0.25
Ir (0.158, 0.842, 0.000)  0.28
Li (0.383, 0.617, 0.500)  0.00
O (0.554, 0.948, 0.228)  0.05
O (0.178, 0.193, 0.231)  0.07
O (0.953, 0.572, 0.237)  0.07
O (0.428, 0.047, 0.763)  0.06
O (0.807, 0.822, 0.769)  0.06
O (0.052, 0.446, 0.772)  0.07

Computed properties:
Size of the total moment ... 1.0 μB per formula unit
SG ... No. 5

(B)
Below is a relaxed structure of LiIr2O6, with properties calculated at the PBE level.

abc: 5.185 5.185 5.098
angles: 102.09 102.09 118.77
Each line ends with the local moment (μB).
Element x y z (fractional)
Ir (0.831, 0.169, 0.000)  0.12
Ir (0.169, 0.831, 0.000)  0.12
Li (0.000, 0.000, 0.500)  0.00
O (0.967, 0.593, 0.223)  0.04
O (0.593, 0.967, 0.223)  0.03
O (0.198, 0.198, 0.240)  0.02
O (0.802, 0.802, 0.760)  0.02
O (0.407, 0.033, 0.777)  0.03
O (0.033, 0.407, 0.777)  0.04

Computed properties:
Size of the total moment ... 0.5 μB per formula unit
SG ... No. 12

Which of them is the least stable? Correct choice: (B).

(A)
Below is a relaxed structure of Li6Ir4O11, with properties calculated at the PBE level.

abc: 10.014 4.916 5.052
angles: 99.06 98.63 117.49
Each line ends with the local moment (μB).
Element x y z (fractional)
Ir (0.923, 0.149, 0.003)  0.26
Ir (0.564, 0.823, 0.005)  0.32
Ir (0.431, 0.177, 0.997)  0.36
Ir (0.078, 0.854, 0.000)  0.18
Li (0.752, 0.497, 0.001)  0.00
Li (0.834, 0.333, 0.496)  0.00
Li (0.320, 0.310, 0.500)  0.00
Li (0.168, 0.665, 0.502)  0.00
Li (0.683, 0.677, 0.505)  0.00
Li (0.242, 0.503, 0.990)  0.00
O (0.279, 0.924, 0.217)  0.02
O (0.769, 0.898, 0.219)  0.03
O (0.955, 0.557, 0.222)  0.03
O (0.131, 0.268, 0.252)  0.07
O (0.622, 0.250, 0.254)  0.15
O (0.874, 0.739, 0.747)  0.08
O (0.367, 0.730, 0.754)  0.06
O (0.547, 0.448, 0.765)  0.06
O (0.046, 0.447, 0.781)  0.02
O (0.730, 0.091, 0.784)  0.12
O (0.230, 0.108, 0.787)  0.04

Computed properties:
Size of the total moment ... 2.0 μB per formula unit
SG ... No. 1

(B)
Below is a relaxed structure of Li6Ir4O11, with properties calculated at the PBE level.

abc: 9.935 4.981 5.015
angles: 98.88 98.59 116.97
Each line ends with the local moment (μB).
Element x y z (fractional)
Ir (0.423, 0.154, 0.004)  0.04
Ir (0.074, 0.856, 0.011)  0.35
Ir (0.929, 0.148, 0.997)  0.52
Ir (0.575, 0.850, 0.998)  0.14
Li (0.671, 0.673, 0.499)  0.00
Li (0.831, 0.328, 0.501)  0.00
Li (0.348, 0.343, 0.509)  0.00
Li (0.166, 0.690, 0.517)  0.00
Li (0.248, 0.499, 0.982)  0.00
Li (0.749, 0.497, 0.993)  0.00
O (0.775, 0.911, 0.216)  0.05
O (0.447, 0.548, 0.217)  0.01
O (0.272, 0.914, 0.224)  0.01
O (0.964, 0.544, 0.225)  0.06
O (0.628, 0.260, 0.251)  0.03
O (0.370, 0.743, 0.744)  0.02
O (0.873, 0.740, 0.747)  0.07
O (0.043, 0.419, 0.770)  0.14
O (0.717, 0.086, 0.774)  0.09
O (0.547, 0.449, 0.781)  0.01
O (0.221, 0.092, 0.786)  0.03

Computed properties:
Size of the total moment ... 1.7 μB per formula unit
SG ... No. 1

(C)
Below is a relaxed structure of Li6Ir4O11, with properties calculated at the PBE level.

abc: 9.893 4.990 5.013
angles: 98.53 103.11 115.84
Each line ends with the local moment (μB).
Element x y z (fractional)
Ir (0.941, 0.159, 0.068)  0.03
Ir (0.999, 0.970, 0.499)  0.06
Ir (0.413, 0.149, 0.979)  0.35
Ir (0.569, 0.842, 0.997)  0.00
Li (0.752, 0.487, 0.001)  0.00
Li (0.192, 0.727, 0.430)  0.00
Li (0.343, 0.329, 0.460)  0.00
Li (0.655, 0.666, 0.521)  0.00
Li (0.824, 0.339, 0.553)  0.00
Li (0.249, 0.529, 0.965)  0.00
O (0.287, 0.923, 0.191)  0.21
O (0.442, 0.545, 0.201)  0.00
O (0.620, 0.260, 0.253)  0.05
O (0.781, 0.919, 0.261)  0.00
O (0.954, 0.551, 0.289)  0.01
O (0.225, 0.109, 0.690)  0.03
O (0.363, 0.737, 0.718)  0.01
O (0.546, 0.453, 0.780)  0.01
O (0.026, 0.331, 0.781)  0.01
O (0.714, 0.082, 0.797)  0.01
O (0.901, 0.781, 0.800)  0.01

Computed properties:
Size of the total moment ... 0.9 μB per formula unit
SG ... No. 1

Which of them is the least stable? Correct choice: (C).

(A)
Below is a relaxed structure of LiIrPd2, with properties calculated at the PBE level.

abc: 4.342 4.342 4.342
angles: 60.00 60.00 60.00
Each line ends with the local moment (μB).
Element x y z (fractional)
Ir (0.250, 0.250, 0.250)  1.16
Li (0.500, 0.500, 0.500)  0.00
Pd (0.000, 0.000, 0.000)  0.45
Pd (0.750, 0.750, 0.750)  0.28

Computed properties:
Size of the total moment ... 1.9 μB per formula unit
SG ... No. 216

(B)
Below is a relaxed structure of LiIrPd2, with properties calculated at the PBE level.

abc: 5.169 5.169 5.169
angles: 149.72 65.71 123.21
Element x y z (fractional)
Ir (0.008, 0.008, 0.000)
Li (0.490, 0.990, 0.500)
Pd (0.556, 0.299, 0.257)
Pd (0.042, 0.299, 0.743)

Computed properties:
Size of the total moment ... 0.0 μB per formula unit
SG ... No. 44

Which of them is the least stable? Correct choice: (A).

(A)
Below is a relaxed structure of RbLiReIr, with properties calculated at the PBE level.

abc: 4.614 4.614 4.614
angles: 60.00 60.00 60.00
Element x y z (fractional)
Ir (0.000, 0.000, 0.000)
Li (0.750, 0.750, 0.750)
Rb (0.500, 0.500, 0.500)
Re (0.250, 0.250, 0.250)

Computed properties:
Size of the total moment ... 0.0 μB per formula unit
SG ... No. 216

(B)
Below is a relaxed structure of RbLiReIr, with properties calculated at the PBE level.

abc: 4.760 4.760 4.760
angles: 60.00 60.00 60.00
Element x y z (fractional)
Ir (0.500, 0.500, 0.500)
Li (0.750, 0.750, 0.750)
Rb (0.250, 0.250, 0.250)
Re (0.000, 0.000, 0.000)

Computed properties:
Size of the total moment ... 3.3 μB per formula unit
SG ... No. 216

Which of them is the least stable? Correct choice: (B).